No. 1
DFT (GGA-PBE) results for an optimized crystal structure of Y2Ho4Sc.

abc: 6.128 6.432 11.297
angles: 90.00 105.60 90.00
Fractional coordinates of all 14 atoms:
Y 0.289 0.250 0.423
Sc 0.837 0.250 0.836
Ho 0.650 0.504 0.286
Ho 0.350 0.004 0.714
Y 0.618 0.750 0.999
Ho 0.350 0.496 0.714
Y 0.382 0.250 0.001
Ho 0.143 0.750 0.441
Y 0.711 0.750 0.577
Ho 0.039 0.750 0.868
Sc 0.163 0.750 0.164
Ho 0.857 0.250 0.559
Ho 0.650 0.996 0.286
Ho 0.961 0.250 0.132

Values from the calculation:
- M_tot: 0.00 μB per atom
- Formation energy from the elements: 13.6 kJ/mol of atoms

---

No. 2
DFT (GGA-PBE) results for an optimized crystal structure of KGaOs.

abc: 4.193 4.191 12.560
angles: 99.59 90.19 120.00
Fractional coordinates of all 6 atoms:
Ga 0.750 0.955 0.356
Os 0.037 0.522 0.209
K 0.152 0.754 0.552
K 0.930 0.317 0.902
Ga 0.329 0.109 0.091
Os 0.684 0.819 0.155

Values from the calculation:
- M_tot: 0.00 μB per atom
- Formation energy from the elements: 25.3 kJ/mol of atoms

---

No. 3
DFT (GGA-PBE) results for an optimized crystal structure of Na2NbO2.

abc: 6.613 6.613 2.756
angles: 90.00 90.00 90.00
Fractional coordinates of all 10 atoms:
O 0.809 0.309 0.500
Nb 0.500 0.500 0.000
O 0.309 0.191 0.500
Na 0.386 0.886 0.000
O 0.191 0.691 0.500
Na 0.614 0.114 0.000
Na 0.114 0.386 0.000
O 0.691 0.809 0.500
Na 0.886 0.614 0.000
Nb 0.000 0.000 0.000

Values from the calculation:
- M_tot: 0.24 μB per atom
- Energy: -4.847 eV per atom

---

No. 4
DFT (GGA-PBE) results for an optimized crystal structure of PuTcBi.

abc: 3.241 7.937 7.553
angles: 47.88 90.00 101.78
Fractional coordinates of all 6 atoms:
Bi 0.464 0.927 0.320
Bi 0.536 0.073 0.680
Tc 0.158 0.315 0.214
Tc 0.842 0.685 0.786
Pu 0.187 0.374 0.807
Pu 0.813 0.626 0.193

Values from the calculation:
- M_tot: 1.68 μB per atom
- Formation energy from the elements: 15.0 kJ/mol of atoms

---

No. 5
DFT (GGA-PBE) results for an optimized crystal structure of InSb2Ru.

abc: 5.259 5.259 6.391
angles: 69.82 69.82 35.72
Fractional coordinates of all 4 atoms:
Ru 0.295 0.295 0.377
Sb 0.913 0.913 0.018
Sb 0.723 0.723 0.737
In 0.569 0.569 0.368

Values from the calculation:
- M_tot: 0.00 μB per atom
- Energy: -5.081 eV per atom

---

No. 6
DFT (GGA-PBE) results for an optimized crystal structure of Zr2AlPb2.

abc: 7.394 7.394 4.460
angles: 90.00 90.00 90.00
Fractional coordinates of all 10 atoms:
Zr 0.841 0.659 0.000
Al 0.000 0.000 0.000
Zr 0.159 0.341 0.000
Pb 0.155 0.655 0.500
Pb 0.845 0.345 0.500
Zr 0.341 0.841 0.000
Al 0.500 0.500 0.000
Pb 0.345 0.155 0.500
Zr 0.659 0.159 0.000
Pb 0.655 0.845 0.500

Values from the calculation:
- M_tot: 0.00 μB per atom
- Formation energy from the elements: -6.2 kJ/mol of atoms

---

No. 7
DFT (GGA-PBE) results for an optimized crystal structure of Na4Tm3ThTe8.

abc: 8.781 9.150 8.780
angles: 118.70 120.00 90.00
Fractional coordinates of all 16 atoms:
Tm 0.500 0.500 0.000
Tm 0.500 0.500 0.500
Te 0.249 0.735 0.497
Te 0.751 0.265 0.503
Na 0.000 0.000 0.500
Th 0.000 0.500 0.000
Na 0.000 0.000 0.000
Te 0.249 0.735 0.987
Te 0.743 0.729 0.486
Na 0.500 0.000 0.000
Te 0.257 0.271 0.514
Te 0.751 0.265 0.013
Tm 0.000 0.500 0.500
Te 0.262 0.265 0.013
Na 0.500 0.000 0.500
Te 0.738 0.735 0.987

Values from the calculation:
- M_tot: 0.00 μB per atom
- Energy: -4.438 eV per atom

---

No. 8
DFT (GGA-PBE) results for an optimized crystal structure of MgReSbI2.

abc: 5.514 5.514 5.836
angles: 90.00 90.00 90.00
Fractional coordinates of all 5 atoms:
Re 0.500 0.500 0.500
I 0.500 0.000 0.000
Mg 0.000 0.000 0.000
I 0.000 0.500 0.000
Sb 0.000 0.000 0.500

Values from the calculation:
- M_tot: 0.82 μB per atom
- Energy: -3.081 eV per atom

---

No. 9
DFT (GGA-PBE) results for an optimized crystal structure of Cs2MgTl6.

abc: 7.371 7.402 7.402
angles: 54.81 88.67 88.67
Fractional coordinates of all 9 atoms:
Tl 0.640 0.190 0.190
Cs 0.133 0.330 0.330
Tl 0.360 0.810 0.810
Tl 0.331 0.823 0.334
Tl 0.331 0.334 0.823
Tl 0.669 0.666 0.177
Tl 0.669 0.177 0.666
Mg 0.000 0.000 0.000
Cs 0.867 0.670 0.670

Values from the calculation:
- M_tot: 0.00 μB per atom
- Formation energy from the elements: -2.8 kJ/mol of atoms

---

No. 10
DFT (GGA-PBE) results for an optimized crystal structure of TlCd2CuBr6.

abc: 8.036 10.093 10.093
angles: 88.59 74.48 74.48
Fractional coordinates of all 20 atoms:
Br 0.042 0.630 0.144
Tl 0.750 0.117 0.883
Cd 0.319 0.764 0.611
Cd 0.819 0.611 0.764
Br 0.958 0.370 0.856
Br 0.964 0.298 0.442
Br 0.536 0.558 0.702
Br 0.187 0.968 0.802
Cd 0.181 0.389 0.236
Cu 0.750 0.783 0.217
Cu 0.250 0.217 0.783
Br 0.458 0.856 0.370
Br 0.542 0.144 0.630
Tl 0.250 0.883 0.117
Cd 0.681 0.236 0.389
Br 0.464 0.442 0.298
Br 0.036 0.702 0.558
Br 0.313 0.198 0.032
Br 0.687 0.802 0.968
Br 0.813 0.032 0.198

Values from the calculation:
- M_tot: 0.01 μB per atom
- Energy: -2.535 eV per atom

---

No. 11
DFT (GGA-PBE) results for an optimized crystal structure of PrY5Er3.

abc: 8.524 8.524 10.011
angles: 115.20 115.20 90.00
Fractional coordinates of all 18 atoms:
Er 0.379 0.879 0.000
Er 0.121 0.379 0.000
Y 0.000 0.000 0.000
Y 0.835 0.936 0.272
Y 0.436 0.335 0.272
Y 0.064 0.564 0.728
Y 0.500 0.500 0.000
Pr 0.750 0.250 0.500
Y 0.335 0.835 0.272
Y 0.165 0.064 0.728
Y 0.564 0.665 0.728
Pr 0.250 0.750 0.500
Er 0.750 0.750 0.500
Er 0.621 0.121 0.000
Er 0.250 0.250 0.500
Y 0.936 0.436 0.272
Er 0.879 0.621 0.000
Y 0.665 0.165 0.728

Values from the calculation:
- M_tot: 0.00 μB per atom
- Formation energy from the elements: 26.9 kJ/mol of atoms

---

No. 12
DFT (GGA-PBE) results for an optimized crystal structure of CuRe3B.

abc: 4.091 4.091 4.091
angles: 90.00 90.00 90.00
Fractional coordinates of all 5 atoms:
Re 0.000 0.500 0.000
B 0.000 0.000 0.000
Cu 0.500 0.500 0.500
Re 0.500 0.000 0.000
Re 0.000 0.000 0.500

Values from the calculation:
- M_tot: 0.00 μB per atom
- Formation energy from the elements: 50.3 kJ/mol of atoms

---

No. 13
DFT (GGA-PBE) results for an optimized crystal structure of CaTmF.

abc: 3.456 3.480 15.887
angles: 90.00 90.00 119.77
Fractional coordinates of all 6 atoms:
Tm 0.721 0.441 0.302
Tm 0.721 0.441 0.698
Ca 0.498 0.997 0.000
F 0.167 0.333 0.076
F 0.167 0.333 0.924
Ca 0.394 0.788 0.500

Values from the calculation:
- M_tot: 0.00 μB per atom
- Energy: -4.255 eV per atom

---

No. 14
DFT (GGA-PBE) results for an optimized crystal structure of Cu2AgSe.

abc: 7.816 7.816 7.816
angles: 23.22 23.22 23.22
Fractional coordinates of all 4 atoms:
Cu 0.995 0.995 0.995
Se 0.250 0.250 0.250
Cu 0.505 0.505 0.505
Ag 0.750 0.750 0.750

Values from the calculation:
- M_tot: 0.00 μB per atom
- Energy: -3.403 eV per atom

---

No. 15
DFT (GGA-PBE) results for an optimized crystal structure of KLiTi3.

abc: 4.653 4.653 4.653
angles: 90.00 90.00 90.00
Fractional coordinates of all 5 atoms:
K 0.000 0.000 0.000
Li 0.500 0.500 0.500
Ti 0.000 0.000 0.500
Ti 0.500 0.000 0.000
Ti 0.000 0.500 0.000

Values from the calculation:
- M_tot: 0.55 μB per atom
- Formation energy from the elements: 192.0 kJ/mol of atoms

---

No. 16
DFT (GGA-PBE) results for an optimized crystal structure of Li3AcRh2.

abc: 4.284 7.329 8.132
angles: 114.24 90.00 106.99
Fractional coordinates of all 12 atoms:
Rh 0.784 0.569 0.265
Ac 0.141 0.281 0.023
Li 0.714 0.428 0.528
Li 0.937 0.873 0.609
Rh 0.561 0.123 0.184
Rh 0.216 0.431 0.735
Li 0.581 0.163 0.669
Li 0.419 0.837 0.331
Rh 0.439 0.877 0.816
Ac 0.859 0.719 0.977
Li 0.286 0.572 0.472
Li 0.063 0.127 0.391

Values from the calculation:
- M_tot: 0.00 μB per atom
- Formation energy from the elements: -27.4 kJ/mol of atoms

---

No. 17
DFT (GGA-PBE) results for an optimized crystal structure of Pm2NdDyEr5.

abc: 8.711 8.711 9.832
angles: 116.30 116.30 90.00
Fractional coordinates of all 18 atoms:
Er 0.153 0.073 0.726
Nd 0.250 0.250 0.500
Nd 0.750 0.750 0.500
Er 0.653 0.153 0.726
Dy 0.250 0.750 0.500
Pm 0.384 0.884 0.000
Er 0.500 0.500 0.000
Er 0.573 0.653 0.726
Er 0.347 0.847 0.274
Er 0.427 0.347 0.274
Pm 0.116 0.384 0.000
Er 0.927 0.427 0.274
Pm 0.884 0.616 0.000
Pm 0.616 0.116 0.000
Er 0.073 0.573 0.726
Dy 0.750 0.250 0.500
Er 0.000 0.000 0.000
Er 0.847 0.927 0.274

Values from the calculation:
- M_tot: 0.00 μB per atom
- Formation energy from the elements: 25.6 kJ/mol of atoms

---

No. 18
DFT (GGA-PBE) results for an optimized crystal structure of LaSmErS3.

abc: 3.927 6.916 10.497
angles: 102.55 90.00 90.00
Fractional coordinates of all 12 atoms:
S 0.250 0.950 0.850
Sm 0.750 0.874 0.366
S 0.750 0.050 0.150
La 0.750 0.651 0.696
Sm 0.250 0.126 0.634
S 0.750 0.548 0.153
Er 0.750 0.232 0.945
Er 0.250 0.768 0.055
S 0.250 0.723 0.504
S 0.750 0.277 0.496
La 0.250 0.349 0.304
S 0.250 0.452 0.847

Values from the calculation:
- M_tot: 0.00 μB per atom
- Energy: -6.404 eV per atom

---

No. 19
DFT (GGA-PBE) results for an optimized crystal structure of NaLaAlZn2.

abc: 4.964 5.738 4.964
angles: 90.00 90.00 90.00
Fractional coordinates of all 5 atoms:
Al 0.000 0.000 0.000
Zn 0.500 0.000 0.000
La 0.000 0.500 0.000
Zn 0.000 0.000 0.500
Na 0.500 0.500 0.500

Values from the calculation:
- M_tot: 0.00 μB per atom
- Formation energy from the elements: 27.8 kJ/mol of atoms

---

No. 20
DFT (GGA-PBE) results for an optimized crystal structure of Al3Zn2Ag2.

abc: 4.623 9.585 10.920
angles: 30.06 90.00 90.00
Fractional coordinates of all 14 atoms:
Zn 0.325 0.103 0.123
Ag 0.671 0.279 0.392
Zn 0.175 0.603 0.123
Zn 0.825 0.397 0.877
Ag 0.329 0.721 0.608
Al 0.500 0.500 0.000
Al 0.001 0.189 0.261
Al 0.999 0.811 0.739
Al 0.499 0.689 0.261
Ag 0.829 0.779 0.392
Al 0.000 0.000 0.000
Zn 0.675 0.897 0.877
Ag 0.171 0.221 0.608
Al 0.501 0.311 0.739

Values from the calculation:
- M_tot: 0.00 μB per atom
- Formation energy from the elements: 5.1 kJ/mol of atoms

---

No. 21
DFT (GGA-PBE) results for an optimized crystal structure of Ac2CdIn4Hg3.

abc: 4.814 4.814 12.056
angles: 90.00 90.00 90.00
Fractional coordinates of all 10 atoms:
In 0.000 0.000 0.000
In 0.000 0.500 0.367
Cd 0.500 0.500 0.500
In 0.500 0.500 0.000
Ac 0.500 0.000 0.253
Ac 0.000 0.500 0.747
In 0.500 0.000 0.633
Hg 0.000 0.000 0.500
Hg 0.500 0.000 0.861
Hg 0.000 0.500 0.139

Values from the calculation:
- M_tot: 0.00 μB per atom
- Formation energy from the elements: -32.5 kJ/mol of atoms

---

No. 22
DFT (GGA-PBE) results for an optimized crystal structure of TmPaAs.

abc: 3.582 3.582 6.275
angles: 106.58 106.58 90.00
Fractional coordinates of all 3 atoms:
Tm 0.309 0.309 0.617
Pa 0.025 0.025 0.051
As 0.666 0.666 0.332

Values from the calculation:
- M_tot: 0.00 μB per atom
- Formation energy from the elements: -44.5 kJ/mol of atoms